First-principles (GGA-PBEsol) data for a relaxed ScCr2Si crystal, as listed in Alexandria.

Properties
As for the density of states at the Fermi level: 4.119 states/eV per cell. As for the formation energy from raw total energies: -167 meV/atom.

```
4
Lattice="2.922 0.000 0.000 0.000 2.922 0.000 0.000 0.000 6.442" Properties=species:S:1:pos:R:3 pbc="T T T"
Cr 0.000 0.000 0.058
Cr 1.461 1.461 1.255
Sc 0.000 0.000 3.195
Si 1.461 1.461 5.155
```

***

First-principles (GGA-PBEsol) data for a relaxed ScCrSi2 crystal, as listed in Alexandria.

Properties
The energy relative to the lowest polymorph listed for this composition is 0.015 eV per atom. As for the density of states at the Fermi level: 2.352 states/eV per cell. As for the formation energy from raw total energies: -380 meV/atom.

```
4
Lattice="-0.184 -2.075 2.565 -2.389 -2.169 -1.926 3.690 -1.403 -2.998" Properties=species:S:1:pos:R:3 pbc="T T T"
Cr 0.783 -0.531 -0.373
Sc 1.661 -3.021 -2.324
Si 2.216 -2.602 0.183
Si -0.091 -2.933 -0.250
```